[1]
VASP calculation (GGA-PBE) on crystalline RbCu2I at its relaxed geometry.

Computed properties:
formation energy (no corrections) = 411 meV per atom
excess energy over the best structure of this formula in the dataset = 0 meV/atom

Cell lengths 6.9755, 6.9755, 6.9755 Å; angles 103.62, 103.62, 121.94 degrees
With the nearest neighbours (Å) after each atom.
Fractional coordinates of all 8 atoms:
Rb  0.0000  0.0000  0.0000  2 I 3.39, 8 Cu 3.64-3.67
Rb  0.7500  0.2500  0.5000  2 I 3.39, 8 Cu 3.64-3.67
Cu  0.2043  0.6250  0.0793  2 I 2.74
Cu  0.3750  0.4543  0.5793  2 I 2.74
Cu  0.5457  0.1250  0.9207  2 I 2.74
Cu  0.8750  0.7957  0.4207  2 I 2.74
I  0.2500  0.7500  0.5000  4 Cu 2.74
I  0.5000  0.5000  0.0000  4 Cu 2.74


[2]
VASP calculation (GGA-PBE) on crystalline Tc3SeF at its relaxed geometry.

Computed properties:
formation energy (no corrections) = 1089 meV per atom
excess energy over the best structure of this formula in the dataset = 0 meV/atom

Cell lengths 4.2417, 4.2417, 4.2417 Å; angles 90.00, 90.00, 90.00 degrees
With the nearest neighbours (Å) after each atom.
Fractional coordinates of all 5 atoms:
Tc  0.0000  0.0000  0.5000  2 F 2.12
Tc  0.0000  0.5000  0.0000  2 F 2.12
Tc  0.5000  0.0000  0.0000  2 F 2.12
Se  0.5000  0.5000  0.5000  12 Tc 3.00
F  0.0000  0.0000  0.0000  6 Tc 2.12


[3]
VASP calculation (GGA-PBE) on crystalline Nd4Sm5Tm at its relaxed geometry.

Computed properties:
excess energy over the best structure of this formula in the dataset = 0 meV/atom
energy of formation = 0.1 eV per formula unit

Cell lengths 3.6370, 9.6056, 10.2839 Å; angles 74.30, 89.94, 79.12 degrees
With the nearest neighbours (Å) after each atom.
Fractional coordinates of all 10 atoms:
Nd  0.0988  0.3024  0.2978  6 Sm 3.58-3.65, 2 Tm 3.61, 4 Nd 3.63-3.64
Nd  0.3003  0.8992  0.9000  1 Tm 3.62, 5 Sm 3.62-3.66, 6 Nd 3.63-3.65
Nd  0.6997  0.1008  0.1000  1 Tm 3.62, 5 Sm 3.62-3.66, 6 Nd 3.63-3.65
Nd  0.9012  0.6976  0.7022  6 Sm 3.58-3.65, 2 Tm 3.61, 4 Nd 3.63-3.64
Sm  0.0990  0.3023  0.8011  4 Nd 3.58-3.66, 2 Tm 3.62, 6 Sm 3.63-3.66
Sm  0.3002  0.8994  0.4003  7 Sm 3.62-3.66, 5 Nd 3.63-3.65
Sm  0.5000  0.5000  0.5000  8 Sm 3.62-3.64, 4 Nd 3.64
Sm  0.6998  0.1006  0.5997  7 Sm 3.62-3.66, 5 Nd 3.63-3.65
Sm  0.9010  0.6977  0.1989  4 Nd 3.58-3.66, 2 Tm 3.62, 6 Sm 3.63-3.66
Tm  0.5000  0.5000  0.0000  6 Nd 3.61-3.62, 4 Sm 3.62, 2 Tm 3.64


[4]
VASP calculation (GGA-PBE) on crystalline Pm6NiPb12 at its relaxed geometry.

Computed properties:
energy of formation = -5.8 eV per formula unit

Cell lengths 8.3390, 8.3390, 8.3390 Å; angles 96.62, 96.62, 96.62 degrees
With the nearest neighbours (Å) after each atom.
Fractional coordinates of all 19 atoms:
Pm  0.1732  0.7467  0.3247  7 Pb 3.24-3.54
Pm  0.2533  0.6753  0.8268  7 Pb 3.24-3.54
Pm  0.3247  0.1732  0.7467  7 Pb 3.24-3.54
Pm  0.6753  0.8268  0.2533  7 Pb 3.24-3.54
Pm  0.7467  0.3247  0.1732  7 Pb 3.24-3.54
Pm  0.8268  0.2533  0.6753  7 Pb 3.24-3.54
Ni  0.5000  0.5000  0.5000  6 Pb 2.79
Pb  0.0069  0.0818  0.3267  2 Pb 3.05-3.34, 3 Pm 3.24-3.38
Pb  0.0818  0.3267  0.0069  2 Pb 3.05-3.34, 3 Pm 3.24-3.38
Pb  0.1665  0.4144  0.4980  1 Ni 2.79, 1 Pb 3.05
Pb  0.3267  0.0069  0.0818  2 Pb 3.05-3.34, 3 Pm 3.24-3.38
Pb  0.4144  0.4980  0.1665  1 Ni 2.79, 1 Pb 3.05
Pb  0.4980  0.1665  0.4144  1 Ni 2.79, 1 Pb 3.05
Pb  0.5020  0.8335  0.5856  1 Ni 2.79, 1 Pb 3.05
Pb  0.5856  0.5020  0.8335  1 Ni 2.79, 1 Pb 3.05
Pb  0.6733  0.9931  0.9182  2 Pb 3.05-3.34, 3 Pm 3.24-3.38
Pb  0.8335  0.5856  0.5020  1 Ni 2.79, 1 Pb 3.05
Pb  0.9182  0.6733  0.9931  2 Pb 3.05-3.34, 3 Pm 3.24-3.38
Pb  0.9931  0.9182  0.6733  2 Pb 3.05-3.34, 3 Pm 3.24-3.38


[5]
VASP calculation (GGA-PBE) on crystalline TbEr3Fe at its relaxed geometry.

Computed properties:
excess energy over the best structure of this formula in the dataset = 82 meV/atom
energy of formation = 0.5 eV per formula unit

Cell lengths 5.2196, 5.2196, 5.2196 Å; angles 90.00, 90.00, 90.00 degrees
With the nearest neighbours (Å) after each atom.
Fractional coordinates of all 5 atoms:
Tb  0.0000  0.0000  0.0000  12 Er 3.69
Er  0.0000  0.5000  0.5000  2 Fe 2.61
Er  0.5000  0.0000  0.5000  2 Fe 2.61
Er  0.5000  0.5000  0.0000  2 Fe 2.61
Fe  0.5000  0.5000  0.5000  6 Er 2.61


[6]
VASP calculation (GGA-PBE) on crystalline CdHg2Ge2 at its relaxed geometry.

Computed properties:
excess energy over the best structure of this formula in the dataset = 0 meV/atom
energy of formation = 1.0 eV per formula unit

Cell lengths 7.2016, 7.2016, 4.5325 Å; angles 90.00, 90.00, 90.00 degrees
With the nearest neighbours (Å) after each atom.
Fractional coordinates of all 10 atoms:
Cd  0.0000  0.0000  0.0000  4 Ge 2.84
Cd  0.5000  0.5000  0.0000  4 Ge 2.84
Hg  0.1830  0.3170  0.5000  6 Ge 2.98-3.21
Hg  0.3170  0.8170  0.5000  6 Ge 2.98-3.21
Hg  0.6830  0.1830  0.5000  6 Ge 2.98-3.21
Hg  0.8170  0.6830  0.5000  6 Ge 2.98-3.21
Ge  0.1270  0.6270  0.0000  1 Ge 2.59, 2 Cd 2.84
Ge  0.3730  0.1270  0.0000  1 Ge 2.59, 2 Cd 2.84
Ge  0.6270  0.8730  0.0000  1 Ge 2.59, 2 Cd 2.84
Ge  0.8730  0.3730  0.0000  1 Ge 2.59, 2 Cd 2.84